HoTmZnGe GGA-PBE relaxed; energy above the lowest structure with this stoichiometry = 0.000 eV/atom; Fermi-level density of states = 0.941 states/eV per atom; mass density = 8.6 g/cm3; crystal system = orthorhombic
1.0
-2.909 2.934 0.434
-2.064 -1.582 -3.137
-1.252 -4.652 3.170
Ho Tm Zn Ge
1 1 1 1
direct
0.142 0.000 0.284
0.860 0.500 0.720
0.576 0.500 0.152
0.422 0.000 0.844